(1)
## FePW2 (PBE)

Data for a geometry-optimized FePW2 structure.

Unit cell a=4.3263 b=4.3263 c=2.9239 alpha=90.01 beta=90.01 gamma=89.95
Fractional positions:
Fe 0.5000 0.0000 0.5000
P 0.0000 0.5000 0.5000
W 0.0000 0.0000 0.0000
W 0.5000 0.5000 0.0000

Values from the calculation:
For the energy, the calculation gives -9.838 eV per atom. Its magnetic moment is 2.04 Bohr magnetons per cell. As for the volume: 13.7 A^3/atom.

=====

(2)
## YFeP3 (PBE)

Data for a geometry-optimized YFeP3 structure.

Unit cell a=5.1895 b=5.1895 c=5.1895 alpha=90.00 beta=90.00 gamma=90.00
Fractional positions:
Y 0.0000 0.0000 0.0000
P 0.0000 0.5000 0.0000
P 0.0000 0.0000 0.5000
P 0.5000 0.0000 0.0000
Fe 0.5000 0.5000 0.5000

Values from the calculation:
For the energy, the calculation gives -5.054 eV per atom. Its magnetic moment is 3.55 Bohr magnetons per cell. As for the volume: 28.0 A^3/atom.

=====

What is the formula in the second record?
YFeP3